1.
# ThCoGe2 (GGA-PBE, relaxed)
data_ThCoGe2
_symmetry_space_group_name_H-M 'I m m m'
_symmetry_Int_Tables_number 71
_symmetry_space_group_name_Hall '-I 2 2'
_cell_length_a 4.289
_cell_length_b 8.708
_cell_length_c 16.081
_cell_angle_alpha 90.00
_cell_angle_beta 90.00
_cell_angle_gamma 90.00
loop_
_atom_site_label
_atom_site_fract_x
_atom_site_fract_y
_atom_site_fract_z
Th1 0.000 0.000 0.210
Th2 0.000 0.243 0.000
Co1 0.000 0.249 0.353
Ge1 0.000 0.000 0.419
Ge2 0.000 0.341 0.192
Ge3 0.000 0.500 0.422
# magnetization	0.00	μB per cell
# formation energy from the elements	-2.593	eV/f.u.


2.
# ThCo12Ge6 (GGA-PBE, relaxed)
data_ThCo12Ge6
_symmetry_space_group_name_H-M 'R -3 m'
_symmetry_Int_Tables_number 166
_symmetry_space_group_name_Hall '-R 3 2"'
_cell_length_a 10.6568
_cell_length_b 10.6568
_cell_length_c 7.8541
_cell_angle_alpha 90.00
_cell_angle_beta 90.00
_cell_angle_gamma 120.00
loop_
_atom_site_label
_atom_site_fract_x
_atom_site_fract_y
_atom_site_fract_z
Th1 0.0000 0.0000 0.0000
Co1 0.0000 0.3742 0.5000
Co2 0.0813 0.1626 0.3413
Ge1 0.0337 0.5169 0.2663
# magnetization	13.56	μB per cell
# formation energy from the elements	-1.648	eV/f.u.


Question: The lowest formation energy from the elements belongs to which entry?
Answer: ThCoGe2


Question: What is the formula in the first record?
Answer: ThCoGe2